Entry 1:
A relaxed Rb2Li2Tl crystal. Source: Alexandria, functional GGA-PBE.

Unit cell a=7.9395 b=7.9395 c=6.3276 alpha=90.00 beta=90.00 gamma=90.00
Fractional coordinates of all 10 atoms:
Tl 0.0000 0.0000 0.0000
Tl 0.5000 0.5000 0.0000
Rb 0.1836 0.6836 0.5000
Rb 0.6836 0.8164 0.5000
Rb 0.8164 0.3164 0.5000
Rb 0.3164 0.1836 0.5000
Li 0.3410 0.8410 0.0000
Li 0.8410 0.6590 0.0000
Li 0.6590 0.1590 0.0000
Li 0.1590 0.3410 0.0000

Output
Mass density = 3.2 g/cm3
Total magnetization = 0.0 μB/cell
Calculated formation energy = 0.38 eV/f.u.
DFT total energy = -15.497 eV/cell
Symmetry = P4/mbm

Entry 2:
A relaxed Ga2SiRh2 crystal. Source: Alexandria, functional GGA-PBE.

Unit cell a=6.3492 b=6.3492 c=3.7651 alpha=90.00 beta=90.00 gamma=90.00
Fractional coordinates of all 10 atoms:
Si 0.0000 0.0000 0.0000
Si 0.5000 0.5000 0.0000
Rh 0.3384 0.8384 0.0000
Rh 0.8384 0.6616 0.0000
Rh 0.6616 0.1616 0.0000
Rh 0.1616 0.3384 0.0000
Ga 0.1468 0.6468 0.5000
Ga 0.6468 0.8532 0.5000
Ga 0.8532 0.3532 0.5000
Ga 0.3532 0.1468 0.5000

Output
Mass density = 8.2 g/cm3
Total magnetization = 0.0 μB/cell
DFT total energy = -57.056 eV/cell
Symmetry = P4/mbm

Entry 3:
A relaxed MnFe2Rh crystal. Source: Alexandria, functional GGA-PBE.

Unit cell a=8.5077 b=8.5077 c=8.5077 alpha=17.66 beta=17.66 gamma=17.66
Each line ends with the local moment (μB).
Fractional coordinates of all 4 atoms:
Fe 0.9984 0.9984 0.9984  2.61
Fe 0.2477 0.2477 0.2477  1.97
Mn 0.5030 0.5030 0.5030  -2.02
Rh 0.7509 0.7509 0.7509  0.36

Output
Mass density = 9.0 g/cm3
Total magnetization = 2.8 μB/cell
Calculated formation energy = 0.33 eV/f.u.
DFT total energy = -33.111 eV/cell
Symmetry = R3m

Entry 4:
A relaxed NaTl2SiF6 crystal. Source: Alexandria, functional GGA-PBE.

Unit cell a=5.5362 b=5.5364 c=12.1613 alpha=90.00 beta=90.00 gamma=90.00
Fractional coordinates of all 20 atoms:
Na 0.0000 0.7543 0.5000
Na 0.5000 0.2457 0.0000
Tl 0.5000 0.7516 0.2501
Tl 0.0000 0.2484 0.7501
Tl 0.5000 0.7516 0.7499
Tl 0.0000 0.2484 0.2499
Si 0.5000 0.2547 0.5000
Si 0.0000 0.7453 0.0000
F 0.5000 0.2546 0.3586
F 0.5000 0.2546 0.6414
F 0.0000 0.7454 0.1414
F 0.0000 0.7454 0.8586
F 0.2805 0.0355 0.5000
F 0.7195 0.0355 0.5000
F 0.2807 0.4740 0.5000
F 0.7193 0.4740 0.5000
F 0.7807 0.5260 0.0000
F 0.2193 0.5260 0.0000
F 0.2195 0.9645 0.0000
F 0.7805 0.9645 0.0000

Output
Mass density = 5.1 g/cm3
Total magnetization = 0.0 μB/cell
DFT total energy = -93.973 eV/cell
Symmetry = Pmmn